No. 1
This record from Alexandria describes an optimized crystal structure of ZrF. The functional is PBE.

Unit cell a=8.6481 b=8.6481 c=3.3050 alpha=90.00 beta=90.00 gamma=120.00
Fractional coordinates of all 12 atoms:
Zr  0.0123  0.7098  0.2500
Zr  0.2902  0.3025  0.2500
Zr  0.3025  0.0123  0.7500
Zr  0.6975  0.9877  0.2500
Zr  0.7098  0.6975  0.7500
Zr  0.9877  0.2902  0.7500
F  0.1164  0.5126  0.2500
F  0.3962  0.8836  0.2500
F  0.4874  0.6038  0.2500
F  0.5126  0.3962  0.7500
F  0.6038  0.1164  0.7500
F  0.8836  0.4874  0.7500

Output
DFT total energy	-6.988	eV per atom
distance to the lowest polymorph of the same formula	481	meV/atom
energy relative to the elements, uncorrected	-343	kJ/mol of formula units
DOS(E_F)	0.9711	states/eV per atom

=====

No. 2
This record from Alexandria describes an optimized crystal structure of K3GeCl6. The functional is PBE.

Unit cell a=9.9788 b=9.9788 c=7.6936 alpha=90.00 beta=90.00 gamma=102.45
Fractional coordinates of all 20 atoms:
K  0.0683  0.9317  0.5000
K  0.2005  0.3932  0.5759
K  0.3932  0.2005  0.0759
K  0.6068  0.7995  0.5759
K  0.7995  0.6068  0.0759
K  0.9317  0.0683  0.0000
Ge  0.3064  0.6936  0.1433
Ge  0.6936  0.3064  0.6433
Cl  0.0968  0.6145  0.2802
Cl  0.1378  0.1992  0.2796
Cl  0.1992  0.1378  0.7796
Cl  0.3183  0.6817  0.8311
Cl  0.3855  0.9032  0.2802
Cl  0.4416  0.5584  0.2654
Cl  0.5584  0.4416  0.7654
Cl  0.6145  0.0968  0.7802
Cl  0.6817  0.3183  0.3311
Cl  0.8008  0.8622  0.2796
Cl  0.8622  0.8008  0.7796
Cl  0.9032  0.3855  0.7802

Output
DFT total energy	-3.314	eV per atom
energy relative to the elements, uncorrected	-1365	kJ/mol of formula units
DOS(E_F)	0.1561	states/eV per atom

=====

No. 3
This record from Alexandria describes an optimized crystal structure of LaCoB3. The functional is PBE.

Unit cell a=3.9658 b=3.9658 c=3.9658 alpha=90.00 beta=90.00 gamma=90.00
Fractional coordinates of all 5 atoms:
La  0.0000  0.0000  0.0000
Co  0.5000  0.5000  0.5000
B  0.0000  0.5000  0.5000
B  0.5000  0.0000  0.5000
B  0.5000  0.5000  0.0000

Output
DFT total energy	-6.192	eV per atom
distance to the lowest polymorph of the same formula	0	meV/atom
DOS(E_F)	0.7036	states/eV per atom
DFT formation energy	0.2216	eV per atom

=====

No. 4
This record from Alexandria describes an optimized crystal structure of PaAl. The functional is PBE.

Unit cell a=3.0764 b=3.0764 c=4.5053 alpha=90.00 beta=90.00 gamma=90.00
Fractional coordinates of all 2 atoms:
Pa  0.0000  0.0000  0.0000
Al  0.5000  0.5000  0.5000

Output
DFT total energy	-6.793	eV per atom
DOS(E_F)	1.3052	states/eV per atom
DFT formation energy	-0.1738	eV per atom

=====

No. 5
This record from Alexandria describes an optimized crystal structure of La2TlCl. The functional is PBE.

Unit cell a=3.7115 b=3.7115 c=11.0488 alpha=90.00 beta=90.00 gamma=114.24
Fractional coordinates of all 4 atoms:
La  0.0000  0.0000  0.0000
La  0.5000  0.5000  0.2617
Tl  0.0000  0.0000  0.5137
Cl  0.5000  0.5000  0.8178

Output
DFT total energy	-4.086	eV per atom
distance to the lowest polymorph of the same formula	379	meV/atom
energy relative to the elements, uncorrected	-219	kJ/mol of formula units
DOS(E_F)	1.5564	states/eV per atom

=====

No. 6
This record from Alexandria describes an optimized crystal structure of PmTcGeSb. The functional is PBE.

Unit cell a=4.8813 b=4.8813 c=4.8813 alpha=60.00 beta=60.00 gamma=60.00
Fractional coordinates of all 4 atoms:
Pm  0.0000  0.0000  0.0000
Tc  0.5000  0.5000  0.5000
Ge  0.2500  0.2500  0.2500
Sb  0.7500  0.7500  0.7500

Output
DFT total energy	-6.133	eV per atom
energy relative to the elements, uncorrected	-65	kJ/mol of formula units
DOS(E_F)	0.3736	states/eV per atom

=====

No. 7
This record from Alexandria describes an optimized crystal structure of TbY2Al. The functional is PBE.

Unit cell a=5.3718 b=5.3718 c=5.3718 alpha=60.00 beta=60.00 gamma=60.00
Fractional coordinates of all 4 atoms:
Tb  0.0000  0.0000  0.0000
Y  0.2500  0.2500  0.2500
Y  0.7500  0.7500  0.7500
Al  0.5000  0.5000  0.5000

Output
DFT total energy	-5.371	eV per atom
distance to the lowest polymorph of the same formula	157	meV/atom
DOS(E_F)	1.6822	states/eV per atom
DFT formation energy	-0.0454	eV per atom

=====

No. 8
This record from Alexandria describes an optimized crystal structure of Tl4Cr5. The functional is PBE.

Unit cell a=7.2917 b=7.2917 c=7.2917 alpha=93.20 beta=93.20 gamma=152.67
Fractional coordinates of all 9 atoms:
Tl  0.0000  0.2925  0.2925
Tl  0.0000  0.7075  0.7075
Tl  0.2925  0.0000  0.2925
Tl  0.7075  0.0000  0.7075
Cr  0.0000  0.0000  0.0000
Cr  0.2992  0.2992  0.5985
Cr  0.2992  0.7008  0.0000
Cr  0.7008  0.2992  0.0000
Cr  0.7008  0.7008  0.4015

Output
DFT total energy	-5.555	eV per atom
DOS(E_F)	0.8060	states/eV per atom
DFT formation energy	0.8428	eV per atom

=====

No. 9
This record from Alexandria describes an optimized crystal structure of La4SiIrCl2. The functional is PBE.

Unit cell a=7.5789 b=4.2317 c=7.5797 alpha=90.00 beta=107.45 gamma=90.00
Fractional coordinates of all 8 atoms:
La  0.2292  0.0000  0.2157
La  0.2478  0.5000  0.7831
La  0.7522  0.5000  0.2169
La  0.7708  0.0000  0.7843
Si  0.5000  0.0000  0.0000
Ir  0.0000  0.5000  0.0000
Cl  0.0000  0.0000  0.5000
Cl  0.5000  0.5000  0.5000

Output
DFT total energy	-5.955	eV per atom
energy relative to the elements, uncorrected	-961	kJ/mol of formula units
DOS(E_F)	0.8724	states/eV per atom

=====

No. 10
This record from Alexandria describes an optimized crystal structure of CaAu2Se. The functional is PBE.

Unit cell a=6.0475 b=6.0475 c=6.0475 alpha=141.17 beta=141.00 gamma=56.21
Fractional coordinates of all 4 atoms:
Ca  0.0000  0.0000  0.0000
Au  0.2504  0.7504  0.5000
Au  0.7496  0.2496  0.5000
Se  0.5000  0.5000  0.0000

Output
DFT total energy	-3.694	eV per atom
energy relative to the elements, uncorrected	-264	kJ/mol of formula units
DOS(E_F)	0.3731	states/eV per atom

=====

No. 11
This record from Alexandria describes an optimized crystal structure of Sc4Pb2N. The functional is PBE.

Unit cell a=8.1926 b=8.1926 c=8.1926 alpha=148.58 beta=148.58 gamma=45.04
Fractional coordinates of all 7 atoms:
Sc  0.0000  0.5000  0.5000
Sc  0.1499  0.1499  0.0000
Sc  0.5000  0.0000  0.5000
Sc  0.8501  0.8501  0.0000
Pb  0.3523  0.3523  0.0000
Pb  0.6477  0.6477  0.0000
N  0.0000  0.0000  0.0000

Output
DFT total energy	-6.758	eV per atom
distance to the lowest polymorph of the same formula	0	meV/atom
energy relative to the elements, uncorrected	-602	kJ/mol of formula units
DOS(E_F)	0.7293	states/eV per atom

=====

No. 12
This record from Alexandria describes an optimized crystal structure of Tb3Zn2In2. The functional is PBE.

Unit cell a=10.9279 b=10.9279 c=3.5757 alpha=90.00 beta=90.00 gamma=156.79
Fractional coordinates of all 7 atoms:
Tb  0.0000  0.0000  0.0000
Tb  0.1649  0.8351  0.0000
Tb  0.8351  0.1649  0.0000
Zn  0.2812  0.7188  0.5000
Zn  0.7188  0.2812  0.5000
In  0.4181  0.5819  0.5000
In  0.5819  0.4181  0.5000

Output
DFT total energy	-3.564	eV per atom
DOS(E_F)	0.9242	states/eV per atom
DFT formation energy	-0.4328	eV per atom